Entry 1:
Density functional theory data (PBE-GGA) for crystalline TlOsAuSe3 at its relaxed geometry.

a b c (Å): 7.832 7.832 9.889
angles (deg): 90.00 90.00 151.64
Positions (direct):
Tl (0.191, 0.809, 0.750)
Tl (0.809, 0.191, 0.250)
Os (0.500, 0.500, 0.000)
Os (0.500, 0.500, 0.500)
Au (0.166, 0.834, 0.250)
Au (0.834, 0.166, 0.750)
Se (0.106, 0.894, 0.019)
Se (0.106, 0.894, 0.481)
Se (0.458, 0.542, 0.250)
Se (0.542, 0.458, 0.750)
Se (0.894, 0.106, 0.519)
Se (0.894, 0.106, 0.981)

## Properties
VASP energy = -4.559 eV per atom

Entry 2:
Density functional theory data (PBE-GGA) for crystalline CsGdInSe3 at its relaxed geometry.

a b c (Å): 8.475 8.475 11.784
angles (deg): 90.00 90.00 150.63
Positions (direct):
Cs (0.227, 0.773, 0.750)
Cs (0.773, 0.227, 0.250)
Gd (0.500, 0.500, 0.000)
Gd (0.500, 0.500, 0.500)
In (0.073, 0.927, 0.250)
In (0.927, 0.073, 0.750)
Se (0.119, 0.881, 0.024)
Se (0.119, 0.881, 0.476)
Se (0.466, 0.534, 0.250)
Se (0.534, 0.466, 0.750)
Se (0.881, 0.119, 0.524)
Se (0.881, 0.119, 0.976)

## Properties
VASP energy = -4.314 eV per atom

Entry 3:
Density functional theory data (PBE-GGA) for crystalline Sc3TcO at its relaxed geometry.

a b c (Å): 5.576 5.576 7.506
angles (deg): 110.07 110.07 48.50
Positions (direct):
Sc (0.106, 0.106, 0.219)
Sc (0.150, 0.150, 0.649)
Sc (0.370, 0.370, 0.086)
Sc (0.630, 0.630, 0.914)
Sc (0.850, 0.850, 0.351)
Sc (0.894, 0.894, 0.781)
Tc (0.395, 0.395, 0.548)
Tc (0.605, 0.605, 0.452)
O (0.133, 0.133, 0.937)
O (0.867, 0.867, 0.063)

## Properties
relative energy among the computed polymorphs = 0.00 eV per formula unit

Entry 4:
Density functional theory data (PBE-GGA) for crystalline FePtCl6 at its relaxed geometry.

a b c (Å): 6.215 6.215 11.718
angles (deg): 90.07 90.07 120.38
Positions (direct):
Fe (0.003, 0.997, 0.750)
Fe (0.997, 0.003, 0.250)
Pt (0.333, 0.667, 0.750)
Pt (0.667, 0.333, 0.250)
Cl (0.030, 0.345, 0.634)
Cl (0.031, 0.688, 0.865)
Cl (0.311, 0.343, 0.864)
Cl (0.312, 0.969, 0.635)
Cl (0.343, 0.311, 0.364)
Cl (0.345, 0.030, 0.134)
Cl (0.655, 0.970, 0.866)
Cl (0.657, 0.689, 0.636)
Cl (0.688, 0.031, 0.365)
Cl (0.689, 0.657, 0.136)
Cl (0.969, 0.312, 0.135)
Cl (0.970, 0.655, 0.366)

## Properties
relative energy among the computed polymorphs = 0.00 eV per formula unit

Entry 5:
Density functional theory data (PBE-GGA) for crystalline Y3Ga2Ni6 at its relaxed geometry.

a b c (Å): 7.726 7.726 7.726
angles (deg): 109.47 109.47 109.47
Positions (direct):
Y (0.000, 0.292, 0.292)
Y (0.000, 0.708, 0.708)
Y (0.292, 0.000, 0.292)
Y (0.292, 0.292, 0.000)
Y (0.708, 0.000, 0.708)
Y (0.708, 0.708, 0.000)
Ga (0.000, 0.000, 0.500)
Ga (0.000, 0.500, 0.000)
Ga (0.500, 0.000, 0.000)
Ga (0.500, 0.500, 0.500)
Ni (0.000, 0.335, 0.665)
Ni (0.000, 0.665, 0.335)
Ni (0.330, 0.665, 0.665)
Ni (0.335, 0.000, 0.665)
Ni (0.335, 0.335, 0.670)
Ni (0.335, 0.665, 0.000)
Ni (0.335, 0.670, 0.335)
Ni (0.665, 0.000, 0.335)
Ni (0.665, 0.330, 0.665)
Ni (0.665, 0.335, 0.000)
Ni (0.665, 0.665, 0.330)
Ni (0.670, 0.335, 0.335)

## Properties
VASP energy = -5.902 eV per atom

Entry 6:
Density functional theory data (PBE-GGA) for crystalline NdCdInSe3 at its relaxed geometry.

a b c (Å): 9.206 9.206 9.455
angles (deg): 104.87 104.87 26.86
Positions (direct):
Nd (0.176, 0.176, 0.102)
Nd (0.824, 0.824, 0.898)
Cd (0.491, 0.491, 0.786)
Cd (0.509, 0.509, 0.214)
In (0.135, 0.135, 0.570)
In (0.865, 0.865, 0.430)
Se (0.000, 0.000, 0.000)
Se (0.332, 0.332, 0.690)
Se (0.341, 0.341, 0.127)
Se (0.500, 0.500, 0.500)
Se (0.659, 0.659, 0.873)
Se (0.668, 0.668, 0.310)

## Properties
relative energy among the computed polymorphs = 0.26 eV per formula unit

Entry 7:
Density functional theory data (PBE-GGA) for crystalline Dy2ErLu4Ni2Te2 at its relaxed geometry.

a b c (Å): 9.212 9.212 9.212
angles (deg): 156.06 67.12 118.34
Positions (direct):
Dy (0.147, 0.000, 0.147)
Dy (0.853, 0.000, 0.853)
Er (0.770, 0.270, 0.500)
Lu (0.218, 0.853, 0.365)
Lu (0.462, 0.647, 0.815)
Lu (0.488, 0.853, 0.635)
Lu (0.832, 0.647, 0.185)
Ni (0.076, 0.339, 0.737)
Ni (0.601, 0.339, 0.263)
Te (0.111, 0.611, 0.500)
Te (0.503, 0.503, 0.000)

## Properties
relative energy among the computed polymorphs = 0.00 eV per formula unit

Entry 8:
Density functional theory data (PBE-GGA) for crystalline LaNd2Ni6Pt3 at its relaxed geometry.

a b c (Å): 9.064 9.064 9.064
angles (deg): 33.42 33.42 33.42
Positions (direct):
La (0.000, 0.000, 0.000)
Nd (0.139, 0.139, 0.139)
Nd (0.861, 0.861, 0.861)
Ni (0.080, 0.585, 0.585)
Ni (0.415, 0.415, 0.920)
Ni (0.415, 0.920, 0.415)
Ni (0.585, 0.080, 0.585)
Ni (0.585, 0.585, 0.080)
Ni (0.920, 0.415, 0.415)
Pt (0.332, 0.332, 0.332)
Pt (0.500, 0.500, 0.500)
Pt (0.668, 0.668, 0.668)

## Properties
VASP energy = -6.059 eV per atom

Entry 9:
Density functional theory data (PBE-GGA) for crystalline NaErSO at its relaxed geometry.

a b c (Å): 6.960 8.861 5.436
angles (deg): 90.00 90.00 90.00
Positions (direct):
Na (0.118, 0.074, 0.000)
Na (0.382, 0.074, 0.500)
Na (0.618, 0.926, 0.000)
Na (0.882, 0.926, 0.500)
Er (0.043, 0.664, 0.062)
Er (0.457, 0.664, 0.562)
Er (0.543, 0.336, 0.062)
Er (0.957, 0.336, 0.562)
S (0.072, 0.636, 0.564)
S (0.428, 0.636, 0.064)
S (0.572, 0.364, 0.564)
S (0.928, 0.364, 0.064)
O (0.068, 0.132, 0.582)
O (0.432, 0.132, 0.082)
O (0.568, 0.868, 0.582)
O (0.932, 0.868, 0.082)

## Properties
relative energy among the computed polymorphs = 1.06 eV per formula unit

Entry 10:
Density functional theory data (PBE-GGA) for crystalline TaAg6O8 at its relaxed geometry.

a b c (Å): 6.579 6.579 6.579
angles (deg): 60.00 60.00 60.00
Positions (direct):
Ta (0.000, 0.000, 0.000)
Ag (0.000, 0.000, 0.500)
Ag (0.000, 0.500, 0.000)
Ag (0.000, 0.500, 0.500)
Ag (0.500, 0.000, 0.000)
Ag (0.500, 0.000, 0.500)
Ag (0.500, 0.500, 0.000)
O (0.217, 0.217, 0.783)
O (0.217, 0.783, 0.217)
O (0.217, 0.783, 0.783)
O (0.250, 0.250, 0.250)
O (0.750, 0.750, 0.750)
O (0.783, 0.217, 0.217)
O (0.783, 0.217, 0.783)
O (0.783, 0.783, 0.217)

## Properties
VASP energy = -5.141 eV per atom

Entry 11:
Density functional theory data (PBE-GGA) for crystalline ZrZn2Sn at its relaxed geometry.

a b c (Å): 4.820 4.820 4.820
angles (deg): 60.00 60.00 60.00
Positions (direct):
Zr (0.000, 0.000, 0.000)
Zn (0.250, 0.250, 0.250)
Zn (0.500, 0.500, 0.500)
Sn (0.750, 0.750, 0.750)

## Properties
VASP energy = -3.666 eV per atom

Entry 12:
Density functional theory data (PBE-GGA) for crystalline Tm2ThTc at its relaxed geometry.

a b c (Å): 7.322 9.359 6.311
angles (deg): 90.00 90.00 90.00
Positions (direct):
Tm (0.175, 0.066, 0.167)
Tm (0.175, 0.434, 0.167)
Tm (0.325, 0.566, 0.667)
Tm (0.325, 0.934, 0.667)
Tm (0.675, 0.066, 0.333)
Tm (0.675, 0.434, 0.333)
Tm (0.825, 0.566, 0.833)
Tm (0.825, 0.934, 0.833)
Th (0.048, 0.250, 0.638)
Th (0.452, 0.750, 0.138)
Th (0.548, 0.250, 0.862)
Th (0.952, 0.750, 0.362)
Tc (0.129, 0.750, 0.981)
Tc (0.371, 0.250, 0.481)
Tc (0.629, 0.750, 0.519)
Tc (0.871, 0.250, 0.019)

## Properties
VASP energy = -6.872 eV per atom

Entry 13:
Density functional theory data (PBE-GGA) for crystalline Ta2Te2O9 at its relaxed geometry.

a b c (Å): 7.048 7.421 14.700
angles (deg): 90.00 103.07 90.00
Positions (direct):
Ta (0.061, 0.203, 0.434)
Ta (0.061, 0.297, 0.934)
Ta (0.371, 0.002, 0.101)
Ta (0.371, 0.498, 0.601)
Ta (0.629, 0.502, 0.399)
Ta (0.629, 0.998, 0.899)
Ta (0.939, 0.703, 0.066)
Ta (0.939, 0.797, 0.566)
Te (0.119, 0.650, 0.315)
Te (0.119, 0.850, 0.815)
Te (0.468, 0.053, 0.335)
Te (0.468, 0.447, 0.835)
Te (0.532, 0.553, 0.165)
Te (0.532, 0.947, 0.665)
Te (0.881, 0.150, 0.185)
Te (0.881, 0.350, 0.685)
O (0.000, 0.000, 0.500)
O (0.000, 0.500, 0.000)
O (0.093, 0.588, 0.188)
O (0.093, 0.912, 0.688)
O (0.118, 0.090, 0.857)
O (0.118, 0.410, 0.357)
O (0.177, 0.674, 0.550)
O (0.177, 0.826, 0.050)
O (0.208, 0.202, 0.051)
O (0.208, 0.298, 0.551)
O (0.270, 0.038, 0.223)
O (0.270, 0.462, 0.723)
O (0.296, 0.058, 0.417)
O (0.296, 0.442, 0.917)
O (0.397, 0.673, 0.334)
O (0.397, 0.827, 0.834)
O (0.473, 0.193, 0.824)
O (0.473, 0.307, 0.324)
O (0.500, 0.000, 0.000)
O (0.500, 0.500, 0.500)
O (0.527, 0.693, 0.676)
O (0.527, 0.807, 0.176)
O (0.603, 0.173, 0.166)
O (0.603, 0.327, 0.666)
O (0.704, 0.558, 0.083)
O (0.704, 0.942, 0.583)
O (0.730, 0.538, 0.277)
O (0.730, 0.962, 0.777)
O (0.792, 0.702, 0.449)
O (0.792, 0.798, 0.949)
O (0.823, 0.174, 0.950)
O (0.823, 0.326, 0.450)
O (0.882, 0.590, 0.643)
O (0.882, 0.910, 0.143)
O (0.907, 0.088, 0.312)
O (0.907, 0.412, 0.812)

## Properties
VASP energy = -7.737 eV per atom

Entry 14:
Density functional theory data (PBE-GGA) for crystalline Fe2CoW at its relaxed geometry.

a b c (Å): 4.069 4.069 4.069
angles (deg): 60.00 60.00 60.00
Positions (direct):
Fe (0.000, 0.000, 0.000)
Fe (0.250, 0.250, 0.250)
Co (0.750, 0.750, 0.750)
W (0.500, 0.500, 0.500)

## Properties
VASP energy = -9.046 eV per atom

Entry 15:
Density functional theory data (PBE-GGA) for crystalline CsAsAuO at its relaxed geometry.

a b c (Å): 4.622 4.622 9.630
angles (deg): 90.00 90.00 90.00
Positions (direct):
Cs (0.250, 0.750, 0.000)
Cs (0.750, 0.250, 0.000)
As (0.250, 0.250, 0.482)
As (0.750, 0.750, 0.518)
Au (0.250, 0.250, 0.743)
Au (0.750, 0.750, 0.257)
O (0.250, 0.750, 0.500)
O (0.750, 0.250, 0.500)

## Properties
relative energy among the computed polymorphs = 2.40 eV per formula unit

Entry 16:
Density functional theory data (PBE-GGA) for crystalline CuHgAsOs at its relaxed geometry.

a b c (Å): 4.518 4.518 4.518
angles (deg): 60.00 60.00 60.00
Positions (direct):
Cu (0.000, 0.000, 0.000)
Hg (0.250, 0.250, 0.250)
As (0.750, 0.750, 0.750)
Os (0.500, 0.500, 0.500)

## Properties
relative energy among the computed polymorphs = 0.00 eV per formula unit

Entry 17:
Density functional theory data (PBE-GGA) for crystalline GaCuOsW at its relaxed geometry.

a b c (Å): 4.292 4.292 4.292
angles (deg): 60.00 60.00 60.00
Positions (direct):
Ga (0.000, 0.000, 0.000)
Cu (0.500, 0.500, 0.500)
Os (0.250, 0.250, 0.250)
W (0.750, 0.750, 0.750)

## Properties
relative energy among the computed polymorphs = 1.04 eV per formula unit

Entry 18:
Density functional theory data (PBE-GGA) for crystalline KDyTm at its relaxed geometry.

a b c (Å): 5.840 5.840 5.840
angles (deg): 60.00 60.00 60.00
Positions (direct):
K (0.000, 0.000, 0.000)
Dy (0.500, 0.500, 0.500)
Tm (0.750, 0.750, 0.750)

## Properties
relative energy among the computed polymorphs = 0.00 eV per formula unit

Entry 19:
Density functional theory data (PBE-GGA) for crystalline TbCuSnTeSe2 at its relaxed geometry.

a b c (Å): 7.204 7.204 11.114
angles (deg): 90.00 90.00 147.00
Positions (direct):
Tb (0.000, 0.000, 0.000)
Tb (0.000, 0.000, 0.500)
Cu (0.469, 0.531, 0.750)
Cu (0.531, 0.469, 0.250)
Sn (0.214, 0.786, 0.250)
Sn (0.786, 0.214, 0.750)
Te (0.095, 0.905, 0.750)
Te (0.905, 0.095, 0.250)
Se (0.363, 0.637, 0.570)
Se (0.363, 0.637, 0.930)
Se (0.637, 0.363, 0.070)
Se (0.637, 0.363, 0.430)

## Properties
VASP energy = -4.597 eV per atom

Entry 20:
Density functional theory data (PBE-GGA) for crystalline Nd2SiAu at its relaxed geometry.

a b c (Å): 5.910 4.133 8.372
angles (deg): 90.00 92.68 90.00
Positions (direct):
Nd (0.127, 0.250, 0.314)
Nd (0.368, 0.250, 0.828)
Nd (0.632, 0.750, 0.172)
Nd (0.873, 0.750, 0.686)
Si (0.122, 0.750, 0.034)
Si (0.878, 0.250, 0.966)
Au (0.347, 0.750, 0.546)
Au (0.653, 0.250, 0.454)

## Properties
VASP energy = -5.276 eV per atom